1.
Ca7P2Au2: optimized geometry, PBE-GGA.

abc: 4.934 4.934 14.174
angles: 90.00 90.00 90.00
Positions (direct):
Ca  0.000  0.000  0.000
Ca  0.000  0.000  0.245
Ca  0.000  0.000  0.500
Ca  0.000  0.000  0.755
Ca  0.500  0.500  0.218
Ca  0.500  0.500  0.500
Ca  0.500  0.500  0.782
P  0.000  0.500  0.875
P  0.500  0.000  0.125
Au  0.000  0.500  0.369
Au  0.500  0.000  0.631

Calculated values
- energy relative to the elements (eV/atom) = -0.69
- VASP energy (eV/atom) = -3.54
- crystal system = tetragonal

***

2.
TmMg5O6: optimized geometry, PBE-GGA.

abc: 5.467 5.467 5.447
angles: 99.45 99.45 120.05
Positions (direct):
Tm  0.000  0.000  0.000
Mg  0.173  0.827  0.500
Mg  0.334  0.666  0.000
Mg  0.500  0.500  0.500
Mg  0.666  0.334  0.000
Mg  0.827  0.173  0.500
O  0.086  0.422  0.254
O  0.255  0.255  0.748
O  0.422  0.086  0.254
O  0.578  0.914  0.746
O  0.745  0.745  0.252
O  0.914  0.578  0.746

Calculated values
- uncorrected formation energy (meV/atom) = -2571.5
- VASP energy (eV/atom) = -6.09
- crystal system = monoclinic

***

3.
ZrRh2F: optimized geometry, PBE-GGA.

abc: 5.628 5.628 5.628
angles: 101.00 101.00 128.20
Positions (direct):
Zr  0.000  0.000  0.000
Zr  0.750  0.250  0.500
Rh  0.157  0.625  0.032
Rh  0.375  0.407  0.532
Rh  0.593  0.125  0.968
Rh  0.875  0.843  0.468
F  0.250  0.750  0.500
F  0.500  0.500  0.000

Calculated values
- uncorrected formation energy (meV/atom) = -567.8
- VASP energy (eV/atom) = -6.85
- crystal system = tetragonal
- excess energy over the best structure of this formula in the dataset (kJ/mol of formula units) = 0

***

4.
AcCoBN: optimized geometry, PBE-GGA.

abc: 3.847 3.847 7.540
angles: 90.00 90.00 90.00
Positions (direct):
Ac  0.250  0.250  0.187
Ac  0.750  0.750  0.813
Co  0.250  0.750  0.500
Co  0.750  0.250  0.500
B  0.250  0.250  0.631
B  0.750  0.750  0.369
N  0.250  0.250  0.828
N  0.750  0.750  0.172

Calculated values
- uncorrected formation energy (meV/atom) = -786.1
- VASP energy (eV/atom) = -7.34
- crystal system = tetragonal